Computed, not measured: an optimized crystal structure of Nd2HoSc at the PBE level of DFT.

ΔE to the lowest computed polymorph (meV/atom): 0.0
Total magnetic moment (μB/cell): 0.000
E_form (kJ/mol of formula units): 15

a b c (Å): 3.6113 3.6113 9.5919
angles (deg): 90.00 90.00 90.00
Space group P4/mmm (No. 123)
Inequivalent atoms, fractional coordinates:
Nd1 0.0000 0.0000 0.2388
Ho1 0.5000 0.5000 0.5000
Sc1 0.5000 0.5000 0.0000